Entry 1:
4
Lattice="-0.769 -5.112 -4.190 -2.848 -5.963 -0.786 -3.113 2.445 -1.290" Properties=species:S:1:pos:R:3 comment="LiTeSe2, relaxed, DFT PBE" crystal_system=monoclinic volume_a3_per_atom=26.46 final_energy_ev_per_cell=-13.71 total_magnetization_mub_per_cell=0.0 pbc="T T T"
Se -4.851 -6.443 -4.573
Se -0.219 0.058 -0.119
Li -1.313 -2.065 -1.318
Te -3.711 -4.494 -3.390

Entry 2:
4
Lattice="8.218 0.003 0.002 7.481 3.401 0.002 7.481 1.622 2.990" Properties=species:S:1:pos:R:3 comment="Li2TeSe, relaxed, DFT PBE" crystal_system=trigonal volume_a3_per_atom=20.86 relative_energy_kj_per_mol_atoms=9.4 final_energy_ev_per_cell=-13.20 total_magnetization_mub_per_cell=0.1 pbc="T T T"
Li 22.815 4.948 2.946
Li 11.953 2.592 1.544
Se 5.795 1.257 0.748
Te 17.384 3.770 2.245

Entry 3:
8
Lattice="4.835 -0.906 -0.834 -0.745 7.210 -3.009 -1.188 -0.244 7.800" Properties=species:S:1:pos:R:3 comment="LiTeSe2, relaxed, DFT PBE" crystal_system=triclinic volume_a3_per_atom=31.57 final_energy_ev_per_cell=-27.37 total_magnetization_mub_per_cell=0.0 pbc="T T T"
Se 0.012 3.568 0.579
Se 0.322 0.565 5.708
Se 2.890 2.492 3.378
Se 2.580 5.495 -1.751
Te 0.178 1.884 3.554
Te 2.724 4.176 0.403
Li 2.931 0.917 5.535
Li -0.029 5.143 -1.578

Entry 4:
4
Lattice="-1.482 -2.276 1.827 -2.626 -1.319 -3.774 3.936 -3.718 -1.439" Properties=species:S:1:pos:R:3 comment="LiTeSe2, relaxed, DFT PBE" crystal_system=orthorhombic volume_a3_per_atom=21.93 final_energy_ev_per_cell=-12.32 total_magnetization_mub_per_cell=0.0 pbc="T T T"
Li 0.655 -2.519 -2.607
Te 1.227 -2.997 0.194
Se 0.000 0.000 0.000
Se -2.054 -1.798 -0.974

Entry 5:
3
Lattice="3.177 0.000 0.000 -1.589 2.751 0.000 0.000 0.000 8.457" Properties=species:S:1:pos:R:3 comment="LiTeSe, relaxed, DFT PBE" crystal_system=trigonal volume_a3_per_atom=24.64 relative_energy_kj_per_mol_atoms=22.2 final_energy_ev_per_cell=-9.34 total_magnetization_mub_per_cell=0.0 pbc="T T T"
Li 0.000 0.000 0.164
Se 1.589 0.917 2.067
Te 0.000 1.834 6.225

Entry 6:
5
Lattice="-0.739 5.121 -0.949 -5.116 -0.894 -0.837 -3.684 2.738 3.066" Properties=species:S:1:pos:R:3 comment="Li2TeSe2, relaxed, DFT PBE" crystal_system=tetragonal volume_a3_per_atom=22.57 relative_energy_kj_per_mol_atoms=7.4 final_energy_ev_per_cell=-16.60 total_magnetization_mub_per_cell=0.0 pbc="T T T"
Li -3.676 4.986 0.612
Li -5.864 1.979 0.668
Se -6.366 4.648 0.883
Se -3.174 2.317 0.397
Te 0.000 0.000 0.000

Entry 7:
4
Lattice="-0.314 -3.496 2.098 3.662 1.517 3.075 -2.738 1.700 2.422" Properties=species:S:1:pos:R:3 comment="Li2TeSe, relaxed, DFT PBE" crystal_system=orthorhombic volume_a3_per_atom=20.67 relative_energy_kj_per_mol_atoms=12.4 final_energy_ev_per_cell=-13.07 total_magnetization_mub_per_cell=0.0 pbc="T T T"
Se -1.526 -0.898 2.260
Li 0.000 0.000 0.000
Li 1.674 -0.990 2.587
Te 0.462 1.608 2.749

Entry 8:
80
Lattice="14.529 0.000 0.000 -4.843 13.698 0.000 -4.843 -6.849 11.863" Properties=species:S:1:pos:R:3 comment="Li3Te5Se12, relaxed, DFT PBE" crystal_system=cubic volume_a3_per_atom=29.51 final_energy_ev_per_cell=-260.56 total_magnetization_mub_per_cell=0.0 pbc="T T T"
Se -0.698 0.789 2.597
Se 6.288 2.052 1.641
Se -2.583 3.188 7.573
Se -0.977 7.826 4.975
Se 7.426 12.158 0.616
Se 4.681 2.122 6.957
Se 10.662 3.029 3.334
Se -2.583 -5.309 11.247
Se 5.283 1.696 10.837
Se 5.541 6.060 9.265
Se 1.982 -1.696 10.837
Se -1.445 4.797 10.221
Se -5.283 -0.040 9.881
Se -1.445 -3.820 8.529
Se 2.260 8.970 4.906
Se 6.825 6.809 1.982
Se -3.866 11.646 1.641
Se 3.120 1.570 3.950
Se 4.145 -1.570 3.950
Se 1.982 1.736 10.907
Se 0.698 8.418 7.913
Se 9.848 -3.188 7.573
Se 2.861 8.545 1.026
Se -0.440 5.153 1.026
Se 9.524 1.540 0.616
Se 10.126 6.889 1.982
Se 1.723 5.279 7.913
Se -4.145 6.068 6.547
Se 6.288 10.669 3.334
Se 2.861 5.113 0.956
Se -0.440 8.585 0.956
Se 7.426 3.661 4.290
Se 5.819 -0.977 6.887
Se 8.987 0.781 5.316
Se -1.982 0.040 9.881
Se -5.005 10.037 4.290
Se -5.819 3.820 8.529
Se 8.709 -4.797 10.221
Se 7.963 -0.789 2.597
Se -4.681 5.309 11.247
Se 2.583 -2.122 6.957
Se -3.120 7.638 9.265
Se 0.162 4.727 4.906
Se 3.398 5.872 4.975
Se 1.445 0.977 6.887
Se 5.283 -1.736 10.907
Se 6.566 7.630 6.547
Se -1.723 -0.781 5.316
Te -2.421 6.849 0.000
Te 1.211 4.281 10.380
Te 7.264 0.000 0.000
Te -1.211 3.424 2.966
Te -1.211 0.856 7.414
Te -3.632 7.705 4.448
Te 4.843 6.849 0.000
Te 3.632 10.273 2.966
Te -4.843 3.424 5.931
Te 6.054 -4.281 10.380
Te -1.211 11.129 1.483
Te 1.211 -3.424 8.897
Te 3.632 2.568 1.483
Te 2.421 3.424 5.931
Te 0.000 0.000 0.000
Te 6.054 5.993 4.448
Te 6.054 3.424 8.897
Te 8.475 -0.856 7.414
Te -2.421 -3.424 5.931
Te 4.843 -3.424 5.931
Li 8.475 9.417 1.483
Li 3.632 7.705 7.414
Li 10.897 0.000 2.966
Li 3.632 0.000 8.897
Li -6.054 6.849 8.897
Li 1.211 6.849 2.966
Li 8.475 4.281 1.483
Li 1.211 -0.856 4.448
Li -1.211 5.993 7.414
Li -3.632 -2.568 10.380
Li 6.054 0.856 4.448
Li -3.632 2.568 10.380